# meta-GGA SCAN CrPt2, single point on PBEsol structure
data_CrPt2
_chemical_formula_sum 'Cr4 Pt8'
_space_group_name_H-M_alt 'C 1 2/m 1'
_space_group_IT_number 12
_cell_length_a 11.775
_cell_length_b 2.679
_cell_length_c 5.368
_cell_angle_alpha 90.00
_cell_angle_beta 103.28
_cell_angle_gamma 90.00
loop_
_space_group_symop_operation_xyz
'x,y,z'
'-x,-y,-z'
'-x,y,-z'
'x,-y,z'
'x+1/2,y+1/2,z'
'-x+1/2,-y+1/2,-z'
'-x+1/2,y+1/2,-z'
'x+1/2,-y+1/2,z'
loop_
_atom_site_label
_atom_site_fract_x
_atom_site_fract_y
_atom_site_fract_z
Cr1 0.000 0.000 0.232
Pt1 0.152 0.500 0.576
Pt2 0.157 0.500 0.080
# Energy relative to the elements   -0.30 eV per atom